Crystalline CeGdCoPt at its relaxed geometry. Source: Alexandria, functional PBE.

a = 4.9191 Å, b = 4.9191 Å, c = 4.9191 Å
α = 60.00°, β = 60.00°, γ = 60.00°
Last column: nearest neighbours and their distance in Å.
Fractional positions:
Gd 0.5000 0.5000 0.5000  4 Pt 3.01, 4 Co 3.01
Co 0.2500 0.2500 0.2500  4 Gd 3.01, 4 Ce 3.01
Pt 0.7500 0.7500 0.7500  4 Ce 3.01, 4 Gd 3.01
Ce 0.0000 0.0000 0.0000  4 Pt 3.01, 4 Co 3.01

ΔH_f (0 K) = -0.5384 eV/atom



Crystalline CeGdCoRh at its relaxed geometry. Source: Alexandria, functional PBE.

a = 4.8464 Å, b = 4.8464 Å, c = 4.8464 Å
α = 60.00°, β = 60.00°, γ = 60.00°
Last column: nearest neighbours and their distance in Å.
Fractional positions:
Co 0.0000 0.0000 0.0000  4 Ce 2.97, 4 Gd 2.97
Gd 0.2500 0.2500 0.2500  4 Co 2.97, 4 Rh 2.97
Rh 0.5000 0.5000 0.5000  4 Gd 2.97, 4 Ce 2.97
Ce 0.7500 0.7500 0.7500  4 Rh 2.97, 4 Co 2.97

ΔH_f (0 K) = -0.3915 eV/atom



Crystalline CeGdCoRu at its relaxed geometry. Source: Alexandria, functional PBE.

a = 4.8301 Å, b = 4.8301 Å, c = 4.8301 Å
α = 60.00°, β = 60.00°, γ = 60.00°
Last column: nearest neighbours and their distance in Å.
Fractional positions:
Ru 0.2500 0.2500 0.2500  4 Gd 2.96, 4 Ce 2.96
Gd 0.0000 0.0000 0.0000  4 Co 2.96, 4 Ru 2.96
Co 0.7500 0.7500 0.7500  4 Ce 2.96, 4 Gd 2.96
Ce 0.5000 0.5000 0.5000  4 Co 2.96, 4 Ru 2.96

ΔH_f (0 K) = -0.2023 eV/atom



Crystalline CeGdCoTc at its relaxed geometry. Source: Alexandria, functional PBE.

a = 4.8285 Å, b = 4.8285 Å, c = 4.8285 Å
α = 60.00°, β = 60.00°, γ = 60.00°
Last column: nearest neighbours and their distance in Å.
Fractional positions:
Gd 0.5000 0.5000 0.5000  4 Co 2.96, 4 Tc 2.96
Co 0.2500 0.2500 0.2500  4 Gd 2.96, 4 Ce 2.96
Tc 0.7500 0.7500 0.7500  4 Gd 2.96, 4 Ce 2.96
Ce 0.0000 0.0000 0.0000  4 Co 2.96, 4 Tc 2.96

ΔH_f (0 K) = -0.0032 eV/atom



Crystalline CeGdZnCo at its relaxed geometry. Source: Alexandria, functional PBE.

a = 4.9406 Å, b = 4.9406 Å, c = 4.9406 Å
α = 60.00°, β = 60.00°, γ = 60.00°
Last column: nearest neighbours and their distance in Å.
Fractional positions:
Zn 0.0000 0.0000 0.0000  4 Gd 3.03, 4 Ce 3.03
Gd 0.7500 0.7500 0.7500  4 Co 3.03, 4 Zn 3.03
Co 0.5000 0.5000 0.5000  4 Gd 3.03, 4 Ce 3.03
Ce 0.2500 0.2500 0.2500  4 Zn 3.03, 4 Co 3.03

ΔH_f (0 K) = -0.1368 eV/atom



Crystalline Ce3CoGe at its relaxed geometry. Source: Alexandria, functional PBE.

a = 5.8554 Å, b = 7.8041 Å, c = 8.3598 Å
α = 124.83°, β = 76.67°, γ = 132.87°
Last column: nearest neighbours and their distance in Å.
Fractional positions:
Ce 0.6294 0.7849 0.9387  2 Ce 2.81-3.07, 3 Co 2.89-3.09, 2 Ge 3.11-3.13
Ce 0.0463 0.2056 0.4542  1 Co 2.46
Ce 0.7946 0.4677 0.8032  1 Co 2.44
Ce 0.2054 0.5323 0.1968  1 Co 2.44
Ce 0.3706 0.2151 0.0613  2 Ce 2.81-3.07, 3 Co 2.89-3.09, 2 Ge 3.11-3.13
Ce 0.9537 0.7944 0.5458  1 Co 2.46
Co 0.9567 0.7829 0.1724  2 Ce 2.44-2.46, 1 Ge 2.47
Co 0.0433 0.2171 0.8276  2 Ce 2.44-2.46, 1 Ge 2.47
Ge 0.5399 0.1476 0.3353  1 Co 2.47
Ge 0.4601 0.8524 0.6647  1 Co 2.47

ΔH_f (0 K) = -0.4114 eV/atom
Polymorph energy (0 for the lowest one) = 0.0 meV/atom



Crystalline Ce4CoGe at its relaxed geometry. Source: Alexandria, functional PBE.

a = 6.7166 Å, b = 6.7183 Å, c = 8.0562 Å
α = 112.37°, β = 112.36°, γ = 95.01°
Last column: nearest neighbours and their distance in Å.
Fractional positions:
Ce 0.9877 0.2024 0.9749  2 Co 2.75-2.80, 2 Ce 2.91-3.01, 2 Ge 3.04-3.05
Ce 0.4872 0.7725 0.9749  2 Co 2.75-2.80, 2 Ce 2.91-3.01, 2 Ge 3.04-3.05
Ce 0.2281 0.5132 0.5255  2 Co 2.75-2.80, 2 Ce 2.91-3.01, 2 Ge 3.05
Ce 0.7719 0.4868 0.4745  2 Co 2.75-2.80, 2 Ce 2.91-3.01, 2 Ge 3.05
Ce 0.2026 0.9877 0.4745  2 Co 2.75-2.80, 2 Ce 2.91-3.01, 2 Ge 3.05
Ce 0.5128 0.2275 0.0251  2 Co 2.75-2.80, 2 Ce 2.91-3.01, 2 Ge 3.04-3.05
Ce 0.7974 0.0123 0.5255  2 Co 2.75-2.80, 2 Ce 2.91-3.01, 2 Ge 3.05
Ce 0.0123 0.7976 0.0251  2 Co 2.75-2.80, 2 Ce 2.91-3.01, 2 Ge 3.04-3.05
Co 0.1248 0.8748 0.7497  8 Ce 2.75-2.80
Co 0.8752 0.1252 0.2503  8 Ce 2.75-2.80
Ge 0.3749 0.6249 0.2497  8 Ce 3.04-3.05
Ge 0.6251 0.3751 0.7503  8 Ce 3.04-3.05

ΔH_f (0 K) = -0.2227 eV/atom
Polymorph energy (0 for the lowest one) = 99.1 meV/atom



Crystalline CeCoGe3 at its relaxed geometry. Source: Alexandria, functional PBE.

a = 5.7592 Å, b = 5.7592 Å, c = 5.7592 Å
α = 136.06°, β = 136.06°, γ = 63.88°
Last column: nearest neighbours and their distance in Å.
Fractional positions:
Ce 0.6664 0.6664 0.0000  12 Ge 3.11-3.35, 5 Co 3.21-3.48
Co 0.9949 0.9949 0.0000  5 Ge 2.28-2.33
Ge 0.4040 0.9040 0.5000  2 Co 2.33
Ge 0.2285 0.2285 0.0000  1 Co 2.28
Ge 0.9040 0.4040 0.5000  2 Co 2.33

ΔH_f (0 K) = -0.5794 eV/atom



Crystalline CeCo2Ge4 at its relaxed geometry. Source: Alexandria, functional PBE.

a = 4.1310 Å, b = 6.4335 Å, c = 16.9945 Å
α = 90.00°, β = 90.00°, γ = 90.00°
Last column: nearest neighbours and their distance in Å.
Fractional positions:
Ge 0.2500 0.2894 0.6983  3 Co 2.45-2.47, 1 Ge 2.65
Ge 0.7500 0.7106 0.3017  3 Co 2.45-2.47, 1 Ge 2.65
Ge 0.7500 0.7894 0.8017  3 Co 2.45-2.47, 1 Ge 2.65
Ge 0.2500 0.2106 0.1983  3 Co 2.45-2.47, 1 Ge 2.65
Ge 0.2500 0.6987 0.6812  4 Co 2.51-2.63, 1 Ge 2.65
Ge 0.7500 0.3013 0.3188  4 Co 2.51-2.63, 1 Ge 2.65
Ge 0.7500 0.1987 0.8188  4 Co 2.51-2.63, 1 Ge 2.65
Ge 0.2500 0.8013 0.1812  4 Co 2.51-2.63, 1 Ge 2.65
Ge 0.2500 0.1431 0.5289  3 Co 2.42-2.54
Ge 0.7500 0.8569 0.4711  3 Co 2.42-2.54
Ge 0.7500 0.6431 0.9711  3 Co 2.42-2.54
Ge 0.2500 0.3569 0.0289  3 Co 2.42-2.54
Ge 0.2500 0.4806 0.4323  4 Co 2.42-2.61
Ge 0.7500 0.5194 0.5677  4 Co 2.42-2.61
Ge 0.7500 0.9806 0.0677  4 Co 2.42-2.61
Ge 0.2500 0.0194 0.9323  4 Co 2.42-2.61
Co 0.2500 0.7489 0.5324  7 Ge 2.42-2.61
Co 0.7500 0.2511 0.4676  7 Ge 2.42-2.61
Co 0.7500 0.2489 0.9676  7 Ge 2.42-2.61
Co 0.2500 0.7511 0.0324  7 Ge 2.42-2.61
Co 0.2500 0.9910 0.7897  7 Ge 2.43-2.63
Co 0.7500 0.0090 0.2103  7 Ge 2.43-2.63
Co 0.7500 0.4910 0.7103  7 Ge 2.43-2.63
Co 0.2500 0.5090 0.2897  7 Ge 2.43-2.63
Ce 0.7500 0.0086 0.6393  8 Ge 2.92-3.10, 2 Co 3.22
Ce 0.2500 0.9914 0.3607  8 Ge 2.92-3.10, 2 Co 3.22
Ce 0.2500 0.5086 0.8607  8 Ge 2.92-3.10, 2 Co 3.22
Ce 0.7500 0.4914 0.1393  8 Ge 2.92-3.10, 2 Co 3.22

ΔH_f (0 K) = -0.4380 eV/atom



Crystalline Ce2Co5Ge3 at its relaxed geometry. Source: Alexandria, functional PBE.

a = 3.9481 Å, b = 6.6299 Å, c = 12.0161 Å
α = 90.00°, β = 99.46°, γ = 90.00°
Last column: nearest neighbours and their distance in Å.
Fractional positions:
Ce 0.5197 0.7327 0.0394  5 Co 2.86-2.90, 5 Ge 2.96-3.05
Ce 0.1608 0.7639 0.3217  8 Co 2.93-3.24, 5 Ge 3.03-3.24
Ce 0.8392 0.2639 0.6783  8 Co 2.93-3.24, 5 Ge 3.03-3.24
Ce 0.4803 0.2327 0.9606  5 Co 2.86-2.90, 5 Ge 2.96-3.05
Co 0.3912 0.5332 0.7823  3 Ge 2.33-2.54, 3 Co 2.43-2.56
Co 0.2889 0.5471 0.5777  3 Ge 2.35-2.45, 2 Co 2.43-2.49
Co 0.7111 0.0471 0.4223  3 Ge 2.35-2.45, 2 Co 2.43-2.49
Co 0.1454 0.2405 0.2908  4 Ge 2.30-2.46, 2 Co 2.56
Co 0.2880 0.9221 0.5760  4 Ge 2.34-2.44, 1 Co 2.49
Co 0.9521 0.9295 0.9042  4 Ge 2.50-2.60, 1 Co 2.63
Co 0.7120 0.4221 0.4240  4 Ge 2.34-2.44, 1 Co 2.49
Co 0.8546 0.7405 0.7092  4 Ge 2.30-2.46, 2 Co 2.56
Co 0.0479 0.4295 0.0958  4 Ge 2.50-2.60, 1 Co 2.63
Co 0.6088 0.0332 0.2177  3 Ge 2.33-2.54, 3 Co 2.43-2.56
Ge 0.7577 0.7347 0.5154  7 Co 2.30-2.45
Ge 0.6128 0.4161 0.2256  6 Co 2.35-2.54
Ge 0.0570 0.0450 0.1139  5 Co 2.33-2.60
Ge 0.2423 0.2347 0.4846  7 Co 2.30-2.45
Ge 0.9430 0.5450 0.8861  5 Co 2.33-2.60
Ge 0.3872 0.9161 0.7744  6 Co 2.35-2.54

ΔH_f (0 K) = -0.4214 eV/atom
Polymorph energy (0 for the lowest one) = 0.0 meV/atom